## CeScTc (PBE)

Data for CeScTc after structural relaxation.

The structure belongs to space group I4/mmm (No. 139); the cell edges are 4.394, 4.394 and 13.931 Å and the angles 90.00°, 90.00° and 90.00°. The inequivalent atoms are Ce at (0.000, 0.000, 0.194), Sc at (0.000, 0.500, 0.000) and Tc at (0.000, 0.000, 0.361).

The value obtained for the excess energy over the best structure of this formula in the dataset is 0.000 eV/atom. The calculation puts the total magnetization at 0.00 μB/f.u. The formation energy comes out at -126 meV/atom.